DFT (PBE) results for crystalline UFeOs2 at its relaxed geometry.

Cell and atoms, written as POSCAR:
```
UFeOs2
1.0
2.759 0.000 0.000
1.379 2.389 0.000
1.379 0.796 9.411
Os Fe U
2 1 1
Cartesian
1.379 0.796 2.045
4.138 2.389 7.366
0.000 0.000 0.000
2.759 1.593 4.705
```

Properties
raw total energy: -10.276 eV/atom
ΔE_f: 1.11 eV/f.u.
energy above the most stable polymorph in this dataset: 377.4 meV per atom
space group: R-3m, No. 166
M_tot: 2.45 μB per cell
N(E_F): 6.08 states/eV/cell



DFT (PBE) results for crystalline Na2In12Ga7 at its relaxed geometry.

Cell and atoms, written as POSCAR:
```
Na2In12Ga7
1.0
-3.419 0.101 -2.899
6.707 -5.352 -8.097
-6.509 -6.427 7.452
In Ga Na
12 7 2
Cartesian
-5.612 -6.430 4.786
1.742 -8.550 -4.082
-1.530 -9.452 -3.854
2.915 -3.795 -5.301
-1.836 -2.198 -3.239
-0.310 -4.711 -1.529
-1.692 -2.226 0.309
-1.385 -9.479 -0.305
-4.963 -3.128 0.538
-6.136 -7.883 1.756
-2.911 -6.967 -2.016
2.390 -5.248 -8.330
-0.004 -7.466 -2.077
3.075 -6.637 -5.679
-4.363 -8.729 -0.275
-1.710 0.051 -1.450
-3.218 -4.211 -1.468
1.142 -2.949 -3.270
-6.296 -5.041 2.134
-0.280 -5.634 -5.103
-2.941 -6.044 1.559
```

Properties
raw total energy: -2.700 eV/atom
ΔE_f: -0.01 eV/f.u.
space group: P-3, No. 147
M_tot: 0.00 μB per cell
N(E_F): 6.93 states/eV/cell



DFT (PBE) results for crystalline CdTeAs2 at its relaxed geometry.

Cell and atoms, written as POSCAR:
```
CdTeAs2
1.0
-4.400 -3.723 1.859
3.534 -4.771 -1.191
2.091 -3.995 6.813
As Cd Te
4 2 2
Cartesian
0.779 -10.385 5.705
2.142 -4.480 1.208
-1.746 -3.888 2.700
1.276 -6.224 5.350
-0.433 -4.247 0.334
2.596 -6.507 2.978
0.000 0.000 0.000
-1.371 -5.982 4.503
```

Properties
raw total energy: -3.111 eV/atom
energy relative to the elements, uncorrected: 0.228 eV/atom
energy above the most stable polymorph in this dataset: 284.0 meV per atom
space group: I-42d, No. 122
M_tot: 0.00 μB per cell
N(E_F): 2.69 states/eV/cell